Entry 1:
MgTlPb: optimized geometry, PBE-GGA.

Cell lengths 8.3240, 8.0691, 3.4027 Å; angles 82.26, 73.85, 23.89 degrees
Closest atoms and distances in Å follow each position.
Fractional coordinates of all 3 atoms:
Mg (0.0000, 0.0000, 0.0000)  2 Tl 3.14, 2 Pb 3.14, 4 Mg 3.40
Tl (0.3420, 0.3420, 0.6580)  2 Mg 3.14, 4 Tl 3.40, 2 Pb 3.46
Pb (0.6587, 0.6587, 0.3413)  2 Mg 3.14, 4 Pb 3.40, 2 Tl 3.46

Properties
The space group is Fmm2, No. 42. As for the volume: 28.2 Å³/atom. The formation energy is 0.02 eV per atom. Its excess energy over the best structure of this formula in the dataset is 0.035 eV/atom.

---

Entry 2:
MgTl3Pb: optimized geometry, PBE-GGA.

Cell lengths 10.1412, 10.1412, 8.8528 Å; angles 101.66, 101.66, 19.84 degrees
Closest atoms and distances in Å follow each position.
Fractional coordinates of all 10 atoms:
Mg (0.0747, 0.0747, 0.4816)  2 Tl 3.04, 1 Mg 3.07, 4 Pb 3.19-3.27
Mg (0.9253, 0.9253, 0.5184)  2 Tl 3.04, 1 Mg 3.07, 4 Pb 3.19-3.27
Tl (0.0921, 0.0921, 0.0950)  4 Pb 3.45-3.61, 6 Tl 3.45-3.72, 1 Mg 3.51
Tl (0.2017, 0.2017, 0.8221)  4 Tl 3.27-3.58, 1 Mg 3.52, 2 Pb 3.63
Tl (0.3131, 0.3131, 0.5984)  2 Mg 3.04, 3 Tl 3.26-3.27
Tl (0.6869, 0.6869, 0.4016)  2 Mg 3.04, 3 Tl 3.26-3.27
Tl (0.7983, 0.7983, 0.1779)  4 Tl 3.27-3.58, 1 Mg 3.52, 2 Pb 3.63
Tl (0.9079, 0.9079, 0.9050)  4 Pb 3.45-3.61, 6 Tl 3.45-3.72, 1 Mg 3.51
Pb (0.4612, 0.4612, 0.2438)  4 Mg 3.19-3.27, 2 Tl 3.45, 2 Pb 3.49
Pb (0.5389, 0.5389, 0.7562)  4 Mg 3.19-3.27, 2 Tl 3.45, 2 Pb 3.49

Properties
The space group is C2/m, No. 12. As for the volume: 30.2 Å³/atom. The formation energy is 0.02 eV per atom. Its excess energy over the best structure of this formula in the dataset is 0.000 eV/atom.

---

Entry 3:
Mg5TlPb3: optimized geometry, PBE-GGA.

Cell lengths 9.1508, 9.1508, 6.3707 Å; angles 90.00, 90.00, 120.00 degrees
Closest atoms and distances in Å follow each position.
Fractional coordinates of all 18 atoms:
Mg (0.0000, 0.2999, 0.2500)  5 Pb 2.99-3.26, 2 Tl 3.17
Mg (0.0000, 0.7001, 0.7500)  5 Pb 2.99-3.26, 2 Tl 3.17
Mg (0.2999, 0.0000, 0.2500)  5 Pb 2.99-3.26, 2 Tl 3.17
Mg (0.2999, 0.2999, 0.7500)  5 Pb 2.99-3.26, 2 Tl 3.17
Mg (0.3333, 0.6667, 0.0000)  2 Mg 3.19, 6 Pb 3.29
Mg (0.3333, 0.6667, 0.5000)  2 Mg 3.19, 6 Pb 3.29
Mg (0.6667, 0.3333, 0.0000)  2 Mg 3.19, 6 Pb 3.29
Mg (0.6667, 0.3333, 0.5000)  2 Mg 3.19, 6 Pb 3.29
Mg (0.7001, 0.0000, 0.7500)  5 Pb 2.99-3.26, 2 Tl 3.17
Mg (0.7001, 0.7001, 0.2500)  5 Pb 2.99-3.26, 2 Tl 3.17
Tl (0.0000, 0.0000, 0.0000)  6 Mg 3.17, 2 Tl 3.19
Tl (0.0000, 0.0000, 0.5000)  6 Mg 3.17, 2 Tl 3.19
Pb (0.0000, 0.3734, 0.7500)  9 Mg 2.99-3.29
Pb (0.0000, 0.6266, 0.2500)  9 Mg 2.99-3.29
Pb (0.3734, 0.0000, 0.7500)  9 Mg 2.99-3.29
Pb (0.3734, 0.3734, 0.2500)  9 Mg 2.99-3.29
Pb (0.6266, 0.0000, 0.2500)  9 Mg 2.99-3.29
Pb (0.6266, 0.6266, 0.7500)  9 Mg 2.99-3.29

Properties
The space group is P6_3/mcm, No. 193. As for the volume: 25.7 Å³/atom. The formation energy is -0.03 eV per atom. Its excess energy over the best structure of this formula in the dataset is 0.000 eV/atom.

---

Entry 4:
Mg7Tl2Pb: optimized geometry, PBE-GGA.

Cell lengths 7.6779, 7.6779, 7.6779 Å; angles 60.00, 60.00, 60.00 degrees
Closest atoms and distances in Å follow each position.
Fractional coordinates of all 10 atoms:
Mg (0.0000, 0.0000, 0.0000)  6 Mg 2.66
Mg (0.2453, 0.2453, 0.7547)  1 Mg 2.66, 1 Pb 2.77
Mg (0.2453, 0.7547, 0.2453)  1 Mg 2.66, 1 Pb 2.77
Mg (0.2453, 0.7547, 0.7547)  1 Mg 2.66, 1 Pb 2.77
Mg (0.7547, 0.2453, 0.2453)  1 Mg 2.66, 1 Pb 2.77
Mg (0.7547, 0.2453, 0.7547)  1 Mg 2.66, 1 Pb 2.77
Mg (0.7547, 0.7547, 0.2453)  1 Mg 2.66, 1 Pb 2.77
Tl (0.2500, 0.2500, 0.2500)  12 Mg 3.84
Tl (0.7500, 0.7500, 0.7500)  12 Mg 3.84
Pb (0.5000, 0.5000, 0.5000)  6 Mg 2.77

Properties
The space group is Fm-3m, No. 225. As for the volume: 32.0 Å³/atom. The formation energy is 0.38 eV per atom. Its excess energy over the best structure of this formula in the dataset is 0.385 eV/atom.

---

Entry 5:
MgTl2Pb: optimized geometry, PBE-GGA.

Cell lengths 3.5880, 5.6340, 5.6550 Å; angles 90.00, 90.00, 90.00 degrees
Closest atoms and distances in Å follow each position.
Fractional coordinates of all 4 atoms:
Mg (0.0000, 0.0000, 0.0000)  4 Tl 3.34, 4 Pb 3.35, 2 Mg 3.59
Tl (0.0000, 0.5000, 0.5000)  4 Pb 3.34, 6 Tl 3.35-3.59
Tl (0.5000, 0.5000, 0.0000)  4 Mg 3.34, 6 Tl 3.35-3.59
Pb (0.5000, 0.0000, 0.5000)  4 Tl 3.34, 4 Mg 3.35, 2 Pb 3.59

Properties
The space group is Pmmm, No. 47. As for the volume: 28.6 Å³/atom. The formation energy is 0.02 eV per atom.

---

Entry 6:
MgTlPb: optimized geometry, PBE-GGA.

Cell lengths 14.4619, 14.4619, 14.4619 Å; angles 166.25, 166.25, 19.49 degrees
Closest atoms and distances in Å follow each position.
Fractional coordinates of all 6 atoms:
Mg (0.1292, 0.1292, 0.0000)  4 Pb 3.21, 4 Tl 3.26, 4 Mg 3.46
Mg (0.8708, 0.8708, 0.0000)  4 Pb 3.21, 4 Tl 3.26, 4 Mg 3.46
Tl (0.2953, 0.2953, 0.0000)  4 Mg 3.26, 8 Tl 3.46-3.56
Tl (0.7047, 0.7047, 0.0000)  4 Mg 3.26, 8 Tl 3.46-3.56
Pb (0.4436, 0.4436, 0.0000)  4 Mg 3.21, 5 Pb 3.21-3.46
Pb (0.5564, 0.5564, 0.0000)  4 Mg 3.21, 5 Pb 3.21-3.46

Properties
The space group is I4/mmm, No. 139. As for the volume: 28.5 Å³/atom. The formation energy is 0.00 eV per atom. Its excess energy over the best structure of this formula in the dataset is 0.021 eV/atom.